! TcHgIN2 | the Alexandria database | PBE | optimized geometry; values from VASP
&SYSTEM
  ibrav = 0, nat = 5, ntyp = 4
/
ATOMIC_SPECIES
Hg 200.59 Hg.upf
I 126.90 I.upf
N 14.01 N.upf
Tc 98.00 Tc.upf
CELL_PARAMETERS angstrom
-3.633 0.257 1.637
-1.425 -2.499 -2.769
1.234 -4.527 3.451
ATOMIC_POSITIONS crystal
Hg 0.500 0.500 0.500
I 0.000 0.000 0.500
N 0.000 0.500 0.000
N 0.500 0.000 0.000
Tc 0.000 0.000 0.000
! space-group type: No. 123
! density of states at the Fermi level: 0.5258 states/eV per atom
! magnetization: 0.086 μB per cell
! DFT total energy: -4.971 eV/atom